[1]
{"formula": "Gd2AgAs", "functional": "GGA-PBE", "state": "optimized geometry", "ef_mev_per_atom": -784, "lattice_angstrom": [[-2.176, 0.012, 3.482], [-0.963, -3.546, 1.832], [5.163, -0.861, 5.650]], "species": ["As", "Gd", "Gd", "Ag"], "frac_coords": [[0.000, 0.000, 0.000], [0.258, 0.258, 0.227], [0.742, 0.742, 0.773], [0.500, 0.500, 0.500]]}

---

[2]
{"formula": "Gd2AgAs", "functional": "GGA-PBE", "state": "optimized geometry", "ef_mev_per_atom": -758, "lattice_angstrom": [[-0.591, 3.130, -1.883], [0.077, -1.897, -3.176], [-6.847, -1.024, 0.445]], "species": ["As", "Gd", "Gd", "Ag"], "frac_coords": [[0.500, 0.500, 0.000], [0.000, 0.000, 0.765], [0.000, 0.000, 0.235], [0.500, 0.500, 0.500]]}

---

[3]
{"formula": "PmGdAgAs", "functional": "GGA-PBE", "state": "optimized geometry", "ef_mev_per_atom": -657, "lattice_angstrom": [[-3.505, 3.058, -2.248], [-2.575, -1.649, -4.164], [-5.027, -1.137, 0.354]], "species": ["As", "Gd", "Ag", "Pm"], "frac_coords": [[0.750, 0.750, 0.750], [0.500, 0.500, 0.500], [0.250, 0.250, 0.250], [0.000, 0.000, 0.000]]}

---

[4]
{"formula": "Ag2Ge2As", "functional": "GGA-PBE", "state": "optimized geometry", "ef_mev_per_atom": 364, "lattice_angstrom": [[4.117, 0.000, 0.000], [0.000, 4.117, 0.000], [2.058, 2.058, 5.941]], "species": ["As", "Ge", "Ge", "Ag", "Ag"], "frac_coords": [[0.000, 0.000, 0.000], [0.399, 0.399, 0.202], [0.601, 0.601, 0.798], [0.750, 0.250, 0.500], [0.250, 0.750, 0.500]]}

---

[5]
{"formula": "Ag2Ge2As", "functional": "GGA-PBE", "state": "optimized geometry", "ef_mev_per_atom": 310, "lattice_angstrom": [[-3.748, 2.949, 6.422], [-2.597, -7.335, 1.852], [2.513, -0.465, 1.680]], "species": ["As", "As", "Ge", "Ge", "Ge", "Ge", "Ag", "Ag", "Ag", "Ag"], "frac_coords": [[0.000, 0.000, 0.000], [0.500, 0.500, 0.000], [0.321, 0.821, 0.000], [0.821, 0.679, 0.000], [0.679, 0.179, 0.000], [0.179, 0.321, 0.000], [0.122, 0.622, 0.500], [0.622, 0.878, 0.500], [0.878, 0.378, 0.500], [0.378, 0.122, 0.500]]}

---

[6]
{"formula": "AgGe3As", "functional": "GGA-PBE", "state": "optimized geometry", "ef_mev_per_atom": 793, "lattice_angstrom": [[5.032, 0.000, 0.000], [0.000, 5.032, 0.000], [0.000, 0.000, 5.032]], "species": ["As", "Ge", "Ge", "Ge", "Ag"], "frac_coords": [[0.000, 0.000, 0.000], [0.000, 0.500, 0.000], [0.000, 0.000, 0.500], [0.500, 0.000, 0.000], [0.500, 0.500, 0.500]]}

---

[7]
{"formula": "AgGe2As2", "functional": "GGA-PBE", "state": "optimized geometry", "ef_mev_per_atom": 359, "lattice_angstrom": [[4.427, 0.000, 0.000], [0.000, 4.427, 0.000], [2.213, 2.213, 5.821]], "species": ["As", "As", "Ge", "Ge", "Ag"], "frac_coords": [[0.378, 0.378, 0.243], [0.622, 0.622, 0.757], [0.750, 0.250, 0.500], [0.250, 0.750, 0.500], [0.000, 0.000, 0.000]]}

---

[8]
{"formula": "AgGe2As", "functional": "GGA-PBE", "state": "optimized geometry", "ef_mev_per_atom": 220, "lattice_angstrom": [[-3.574, 4.866, 0.922], [-1.599, -0.057, -5.894], [-6.725, -0.854, -1.331]], "species": ["As", "As", "Ge", "Ge", "Ge", "Ge", "Ag", "Ag"], "frac_coords": [[0.500, 0.500, 0.000], [0.250, 0.750, 0.500], [0.620, 0.125, 0.250], [0.130, 0.625, 0.250], [0.375, 0.380, 0.750], [0.875, 0.870, 0.750], [0.000, 0.000, 0.000], [0.750, 0.250, 0.500]]}

---

[9]
{"formula": "Ag2Ge2As", "functional": "GGA-PBE", "state": "optimized geometry", "ef_mev_per_atom": 321, "lattice_angstrom": [[-1.504, 0.894, -7.745], [0.049, -7.887, -0.920], [-3.029, -0.086, 0.578]], "species": ["As", "As", "Ge", "Ge", "Ge", "Ge", "Ag", "Ag", "Ag", "Ag"], "frac_coords": [[0.000, 0.000, 0.000], [0.500, 0.500, 0.000], [0.165, 0.665, 0.500], [0.665, 0.835, 0.500], [0.835, 0.335, 0.500], [0.335, 0.165, 0.500], [0.366, 0.866, 0.000], [0.866, 0.634, 0.000], [0.634, 0.134, 0.000], [0.134, 0.366, 0.000]]}

---

[10]
{"formula": "AgGe2As2", "functional": "GGA-PBE", "state": "optimized geometry", "ef_mev_per_atom": 334, "lattice_angstrom": [[7.521, 0.000, 0.000], [0.000, 7.521, 0.000], [0.000, 0.000, 3.497]], "species": ["As", "As", "As", "As", "Ge", "Ge", "Ge", "Ge", "Ag", "Ag"], "frac_coords": [[0.159, 0.659, 0.500], [0.659, 0.841, 0.500], [0.841, 0.341, 0.500], [0.341, 0.159, 0.500], [0.356, 0.856, 0.000], [0.856, 0.644, 0.000], [0.644, 0.144, 0.000], [0.144, 0.356, 0.000], [0.000, 0.000, 0.000], [0.500, 0.500, 0.000]]}

---

[11]
{"formula": "AgGe2As2", "functional": "GGA-PBE", "state": "optimized geometry", "ef_mev_per_atom": 278, "lattice_angstrom": [[-7.003, 2.575, -0.666], [-1.117, -1.146, 7.318], [1.165, 3.349, 0.702]], "species": ["As", "As", "As", "As", "Ge", "Ge", "Ge", "Ge", "Ag", "Ag"], "frac_coords": [[0.333, 0.833, 0.000], [0.833, 0.667, 0.000], [0.667, 0.167, 0.000], [0.167, 0.333, 0.000], [0.150, 0.650, 0.500], [0.650, 0.850, 0.500], [0.850, 0.350, 0.500], [0.350, 0.150, 0.500], [0.000, 0.000, 0.000], [0.500, 0.500, 0.000]]}

---

[12]
{"formula": "Ag3GeAs", "functional": "GGA-PBE", "state": "optimized geometry", "ef_mev_per_atom": 551, "lattice_angstrom": [[-4.142, -1.097, 2.460], [-0.357, -4.249, -2.496], [2.670, -2.270, 3.482]], "species": ["As", "Ge", "Ag", "Ag", "Ag"], "frac_coords": [[0.000, 0.000, 0.000], [0.500, 0.500, 0.500], [0.000, 0.500, 0.000], [0.000, 0.000, 0.500], [0.500, 0.000, 0.000]]}

---

- Number 12 is which compound?
  Ag3GeAs